1.
## RhSe2NO (PBE)

Data for RhSe2NO after structural relaxation.

Calculated values
- Space-group type: P4/mmm, No. 123
- Formation energy from raw total energies: 1065.4 meV/atom

a = 5.033 Å, b = 5.033 Å, c = 3.587 Å
α = 90.00°, β = 90.00°, γ = 90.00°
Fractional positions:
Rh (0.000, 0.000, 0.000)
Se (0.000, 0.500, 0.000)
Se (0.500, 0.000, 0.000)
N (0.000, 0.000, 0.500)
O (0.500, 0.500, 0.500)

2.
## CsNa2Sn (PBE)

Data for CsNa2Sn after structural relaxation.

Calculated values
- E_form: -0.078 eV per atom
- Space-group type: R-3m, No. 166

a = 5.497 Å, b = 5.497 Å, c = 19.996 Å
α = 90.00°, β = 90.00°, γ = 120.00°
Fractional positions:
Cs (0.000, 0.000, 0.000)
Cs (0.333, 0.667, 0.667)
Cs (0.667, 0.333, 0.333)
Na (0.000, 0.000, 0.199)
Na (0.000, 0.000, 0.801)
Na (0.333, 0.667, 0.468)
Na (0.333, 0.667, 0.865)
Na (0.667, 0.333, 0.135)
Na (0.667, 0.333, 0.532)
Sn (0.000, 0.000, 0.500)
Sn (0.333, 0.667, 0.167)
Sn (0.667, 0.333, 0.833)

| no. | Fermi-level density of states (states/eV/cell) |
| --- | --- |
| 1 | 5.63 |
| 2 | 11.14 |